DFT (GGA+U) results for a relaxed structure of MnBr3O.

Cell: 4.793 4.793 4.793 Å, 90.00 90.00 90.00°
Atoms (fractional coordinates):
Mn 0.000 0.000 0.000
Br 0.000 0.500 0.500
Br 0.500 0.000 0.500
Br 0.500 0.500 0.000
O 0.500 0.500 0.500

Results
Density of states at the Fermi level: 0.31 states/eV/atom
Space-group type: No. 221
ΔE to the lowest computed polymorph: 0.109 eV per atom